<w>
# ZrMo2Au

An optimized crystal structure of ZrMo2Au (PBEsol, Alexandria).

Properties
Space group: Pmmm

Unit cell a=3.534 b=4.272 c=4.484 alpha=90.00 beta=90.00 gamma=90.00
Fractional coordinates of all 4 atoms:
Au 0.000 0.500 0.500
Mo 0.000 0.000 0.000
Mo 0.500 0.500 0.000
Zr 0.500 0.000 0.500

<x>
# ZrMo2Au

An optimized crystal structure of ZrMo2Au (PBEsol, Alexandria).

Properties
Space group: C2/m

Unit cell a=3.027 b=4.785 c=5.012 alpha=98.72 beta=107.58 gamma=90.00
Fractional coordinates of all 4 atoms:
Au 0.000 0.500 0.000
Mo 0.265 0.260 0.530
Mo 0.735 0.740 0.470
Zr 0.500 0.000 0.000

Most stable to least stable, the ends of the list are <w> and <x>.